The following is a PBE calculation of a relaxed structure of NaAc2La, from Alexandria via LeMat-Bulk.

The structure belongs to space group P4/mmm (No. 123); the cell edges are 3.869, 3.869 and 11.173 Å and the angles 90.00°, 90.00° and 90.00°. The inequivalent atoms are Na at (0.000, 0.000, 0.000), Ac at (0.500, 0.500, 0.262) and La at (0.000, 0.000, 0.500).

Its energy above the most stable polymorph in this dataset is 0 kJ/mol of formula units. The formation energy from the elements is 77 meV/atom.



The following is a PBE calculation of a relaxed structure of NaAc2La, from Alexandria via LeMat-Bulk.

The structure belongs to space group F-43m (No. 216); the cell edges are 8.706, 8.706 and 8.706 Å and the angles 90.00°, 90.00° and 90.00°. The inequivalent atoms are Na at (0.000, 0.000, 0.000), Ac at (0.000, 0.000, 0.500), Ac at (0.250, 0.250, 0.250) and La at (0.250, 0.250, 0.750).

Its energy above the most stable polymorph in this dataset is 57 kJ/mol of formula units. The formation energy from the elements is 224 meV/atom.



The following is a PBE calculation of a relaxed structure of NaAc5La4, from Alexandria via LeMat-Bulk.

The structure belongs to space group P4/mmm (No. 123); the cell edges are 3.876, 3.876 and 27.450 Å and the angles 90.00°, 90.00° and 90.00°. The inequivalent atoms are Na at (0.000, 0.000, 0.000), Ac at (0.500, 0.500, 0.105), Ac at (0.500, 0.500, 0.301), Ac at (0.500, 0.500, 0.500), La at (0.000, 0.000, 0.202) and La at (0.000, 0.000, 0.401).

The formation energy from the elements is 42 meV/atom.



The following is a PBE calculation of a relaxed structure of Na2AcLaO4, from Alexandria via LeMat-Bulk.

The structure belongs to space group P2/m (No. 10); the cell edges are 6.060, 3.745 and 6.501 Å and the angles 90.00°, 111.05° and 90.00°. The inequivalent atoms are Na at (0.000, 0.000, 0.000), Na at (0.000, 0.500, 0.500), Ac at (0.500, 0.000, 0.500), La at (0.500, 0.500, 0.000), O at (0.281, 0.500, 0.253) and O at (0.283, 0.000, 0.767).

The calculation puts the uncorrected formation energy at -2.58 eV per atom.